# Sm8Ga3Te4Se | Alexandria | GGA-PBE | optimized geometry
data_Sm8Ga3Te4Se
_symmetry_space_group_name_H-M 'P 1'
_symmetry_Int_Tables_number 1
_symmetry_space_group_name_Hall 'P 1'
_cell_length_a 8.5680
_cell_length_b 8.8509
_cell_length_c 8.5683
_cell_angle_alpha 118.95
_cell_angle_beta 120.00
_cell_angle_gamma 90.00
loop_
_atom_site_label
_atom_site_fract_x
_atom_site_fract_y
_atom_site_fract_z
Te1 0.5000 0.0000 0.0000
Sm1 0.7556 0.2707 0.0150
Ga1 0.5000 0.5000 0.0000
Te2 0.5000 0.0000 0.5000
Sm2 0.2546 0.2639 0.5093
Te3 0.0000 0.0000 0.0000
Sm3 0.2444 0.7293 0.9850
Ga2 0.5000 0.5000 0.5000
Sm4 0.7406 0.7293 0.9850
Sm5 0.2594 0.2707 0.0150
Se1 0.0000 0.5000 0.0000
Sm6 0.7454 0.7361 0.4907
Sm7 0.7555 0.2706 0.5110
Te4 0.0000 0.0000 0.5000
Sm8 0.2445 0.7294 0.4890
Ga3 0.0000 0.5000 0.5000
# M_tot = 0.00 μB/f.u.
# mass density = 7.12 g/cm3
# total DFT energy (no corrections) = -5.09 eV/atom
# formation energy without anion corrections = -1162 meV per atom

---

# BaBeMo | Alexandria | GGA-PBE | optimized geometry
data_BaBeMo
_symmetry_space_group_name_H-M 'P 1'
_symmetry_Int_Tables_number 1
_symmetry_space_group_name_Hall 'P 1'
_cell_length_a 3.8698
_cell_length_b 3.8698
_cell_length_c 5.5419
_cell_angle_alpha 90.00
_cell_angle_beta 90.00
_cell_angle_gamma 120.00
loop_
_atom_site_label
_atom_site_fract_x
_atom_site_fract_y
_atom_site_fract_z
Be1 0.6667 0.3333 0.4377
Mo1 0.3333 0.6667 0.5491
Ba1 0.0000 0.0000 0.0132
# M_tot = 0.00 μB/f.u.
# mass density = 5.60 g/cm3
# E_form = 100 kJ/mol of atoms
# total DFT energy (no corrections) = -4.46 eV/atom
# offset from the most stable computed form = 0.239 eV per atom

---

# TbDy2Ho | Alexandria | GGA-PBE | optimized geometry
data_TbDy2Ho
_symmetry_space_group_name_H-M 'P 1'
_symmetry_Int_Tables_number 1
_symmetry_space_group_name_Hall 'P 1'
_cell_length_a 3.5354
_cell_length_b 3.5354
_cell_length_c 11.7033
_cell_angle_alpha 81.31
_cell_angle_beta 81.31
_cell_angle_gamma 60.00
loop_
_atom_site_label
_atom_site_fract_x
_atom_site_fract_y
_atom_site_fract_z
Ho1 0.0000 0.0000 0.0000
Dy1 0.7496 0.7496 0.7511
Tb1 0.5000 0.5000 0.5000
Dy2 0.2504 0.2504 0.2489
# M_tot = 0.00 μB/f.u.
# mass density = 8.64 g/cm3
# E_form = 2 kJ/mol of atoms
# total DFT energy (no corrections) = -4.59 eV/atom
# offset from the most stable computed form = 0.011 eV per atom